# 1
# KNaLi2I4, optimized geometry, DFT PBE
# - formation energy from raw total energies (meV per atom) = -1196
# - E_tot (eV per cell) = -88.0
# - volume (A^3/atom) = 36.54
data_KNaLi2I4
_chemical_formula_sum 'K4 Na4 Li8 I16'
_cell_length_a 4.538
_cell_length_b 15.615
_cell_length_c 16.500
_cell_angle_alpha 90.00
_cell_angle_beta 90.00
_cell_angle_gamma 90.00
_symmetry_space_group_name_H-M 'C m c m'
_symmetry_Int_Tables_number 63
_symmetry_space_group_name_Hall '-C 2c 2'
loop_
_atom_site_label
_atom_site_type_symbol
_atom_site_fract_x
_atom_site_fract_y
_atom_site_fract_z
K1 K 0.000 0.150 0.250
Na1 Na 0.000 0.130 0.750
Li1 Li 0.000 0.375 0.021
I1 I 0.000 0.000 0.000
I2 I 0.000 0.251 0.607
I3 I 0.000 0.488 0.250

# 2
# KNaLiI3, optimized geometry, DFT PBE
# - formation energy from raw total energies (meV per atom) = -1301
# - E_tot (eV per cell) = -33.6
# - volume (A^3/atom) = 39.17
data_KNaLiI3
_chemical_formula_sum 'K2 Na2 Li2 I6'
_cell_length_a 9.746
_cell_length_b 4.650
_cell_length_c 10.695
_cell_angle_alpha 90.00
_cell_angle_beta 104.18
_cell_angle_gamma 90.00
_symmetry_space_group_name_H-M 'P 1 21/m 1'
_symmetry_Int_Tables_number 11
_symmetry_space_group_name_Hall '-P 2yb'
loop_
_atom_site_label
_atom_site_type_symbol
_atom_site_fract_x
_atom_site_fract_y
_atom_site_fract_z
K1 K 0.193 0.250 0.218
Na1 Na 0.342 0.750 0.867
Li1 Li 0.091 0.250 0.604
I1 I 0.102 0.250 0.859
I2 I 0.198 0.750 0.520
I3 I 0.446 0.750 0.173

# 3
# KLiNbI6, optimized geometry, DFT PBE
# - formation energy from raw total energies (meV per atom) = -801
# - E_tot (eV per cell) = -59.2
# - volume (A^3/atom) = 42.54
data_KLiNbI6
_chemical_formula_sum 'K2 Li2 Nb2 I12'
_cell_length_a 7.5609
_cell_length_b 7.5609
_cell_length_c 15.4673
_cell_angle_alpha 90.00
_cell_angle_beta 90.00
_cell_angle_gamma 120.00
_symmetry_space_group_name_H-M 'P -3 1 c'
_symmetry_Int_Tables_number 163
_symmetry_space_group_name_Hall '-P 3 2c'
loop_
_atom_site_label
_atom_site_type_symbol
_atom_site_fract_x
_atom_site_fract_y
_atom_site_fract_z
K1 K 0.0000 0.0000 0.0000
Li1 Li 0.3333 0.6667 0.2500
Nb1 Nb 0.3333 0.6667 0.7500
I1 I 0.0155 0.3770 0.6446

# 4
# K2LiNdI6, optimized geometry, DFT PBE
# - formation energy from raw total energies (meV per atom) = -1340
# - E_tot (eV per cell) = -126.3
# - volume (A^3/atom) = 44.40
# - E above lowest polymorph (eV per atom) = 0.0529
data_K2LiNdI6
_chemical_formula_sum 'K8 Li4 Nd4 I24'
_cell_length_a 12.110
_cell_length_b 12.110
_cell_length_c 12.110
_cell_angle_alpha 90.00
_cell_angle_beta 90.00
_cell_angle_gamma 90.00
_symmetry_space_group_name_H-M 'F m -3 m'
_symmetry_Int_Tables_number 225
_symmetry_space_group_name_Hall '-F 4 2 3'
loop_
_atom_site_label
_atom_site_type_symbol
_atom_site_fract_x
_atom_site_fract_y
_atom_site_fract_z
K1 K 0.250 0.250 0.250
Li1 Li 0.000 0.000 0.000
Nd1 Nd 0.000 0.000 0.500
I1 I 0.000 0.000 0.244

# 5
# K2LiNdI6, optimized geometry, DFT PBE
# - formation energy from raw total energies (meV per atom) = -1393
# - E_tot (eV per cell) = -64.2
# - volume (A^3/atom) = 41.53
# - E above lowest polymorph (eV per atom) = 0.0000
data_K2LiNdI6
_chemical_formula_sum 'K4 Li2 Nd2 I12'
_cell_length_a 8.194
_cell_length_b 8.654
_cell_length_c 14.199
_cell_angle_alpha 90.00
_cell_angle_beta 124.42
_cell_angle_gamma 90.00
_symmetry_space_group_name_H-M 'P 1 21/c 1'
_symmetry_Int_Tables_number 14
_symmetry_space_group_name_Hall '-P 2ybc'
loop_
_atom_site_label
_atom_site_type_symbol
_atom_site_fract_x
_atom_site_fract_y
_atom_site_fract_z
K1 K 0.215 0.086 0.245
Li1 Li 0.000 0.000 0.500
Nd1 Nd 0.500 0.000 0.000
I1 I 0.136 0.198 0.946
I2 I 0.255 0.695 0.947
I3 I 0.352 0.023 0.744

# 6
# KLiNdI5, optimized geometry, DFT PBE
# - formation energy from raw total energies (meV per atom) = -1360
# - E_tot (eV per cell) = -105.6
# - volume (A^3/atom) = 46.29
data_KLiNdI5
_chemical_formula_sum 'K4 Li4 Nd4 I20'
_cell_length_a 10.068
_cell_length_b 13.813
_cell_length_c 11.588
_cell_angle_alpha 90.00
_cell_angle_beta 113.21
_cell_angle_gamma 90.00
_symmetry_space_group_name_H-M 'C 1 2/c 1'
_symmetry_Int_Tables_number 15
_symmetry_space_group_name_Hall '-C 2yc'
loop_
_atom_site_label
_atom_site_type_symbol
_atom_site_fract_x
_atom_site_fract_y
_atom_site_fract_z
K1 K 0.000 0.138 0.250
Li1 Li 0.000 0.191 0.750
Nd1 Nd 0.000 0.500 0.000
I1 I 0.000 0.408 0.250
I2 I 0.127 0.301 0.622
I3 I 0.183 0.069 0.939

# 7
# KLiNpI6, optimized geometry, DFT PBE
# - formation energy from raw total energies (meV per atom) = -1026
# - E_tot (eV per cell) = -69.0
# - volume (A^3/atom) = 45.64
data_KLiNpI6
_chemical_formula_sum 'K2 Li2 Np2 I12'
_cell_length_a 7.7717
_cell_length_b 7.7717
_cell_length_c 15.7045
_cell_angle_alpha 90.00
_cell_angle_beta 90.00
_cell_angle_gamma 120.00
_symmetry_space_group_name_H-M 'P -3 1 c'
_symmetry_Int_Tables_number 163
_symmetry_space_group_name_Hall '-P 3 2c'
loop_
_atom_site_label
_atom_site_type_symbol
_atom_site_fract_x
_atom_site_fract_y
_atom_site_fract_z
K1 K 0.0000 0.0000 0.0000
Li1 Li 0.3333 0.6667 0.2500
Np1 Np 0.3333 0.6667 0.7500
I1 I 0.0019 0.3657 0.6397

# 8
# KLiNpI5, optimized geometry, DFT PBE
# - formation energy from raw total energies (meV per atom) = -1084
# - E_tot (eV per cell) = -129.5
# - volume (A^3/atom) = 45.64
data_KLiNpI5
_chemical_formula_sum 'K4 Li4 Np4 I20'
_cell_length_a 10.134
_cell_length_b 13.731
_cell_length_c 11.459
_cell_angle_alpha 90.00
_cell_angle_beta 113.66
_cell_angle_gamma 90.00
_symmetry_space_group_name_H-M 'C 1 2/c 1'
_symmetry_Int_Tables_number 15
_symmetry_space_group_name_Hall '-C 2yc'
loop_
_atom_site_label
_atom_site_type_symbol
_atom_site_fract_x
_atom_site_fract_y
_atom_site_fract_z
K1 K 0.000 0.139 0.250
Li1 Li 0.000 0.191 0.750
Np1 Np 0.000 0.500 0.000
I1 I 0.000 0.406 0.250
I2 I 0.128 0.300 0.620
I3 I 0.186 0.067 0.941

# 9
# KLiNp2I8, optimized geometry, DFT PBE
# - formation energy from raw total energies (meV per atom) = -983
# - E_tot (eV per cell) = -53.1
# - volume (A^3/atom) = 45.74
data_KLiNp2I8
_chemical_formula_sum 'K1 Li1 Np2 I8'
_cell_length_a 7.467
_cell_length_b 7.837
_cell_length_c 9.438
_cell_angle_alpha 90.54
_cell_angle_beta 90.63
_cell_angle_gamma 96.27
_symmetry_space_group_name_H-M 'P -1'
_symmetry_Int_Tables_number 2
_symmetry_space_group_name_Hall '-P 1'
loop_
_atom_site_label
_atom_site_type_symbol
_atom_site_fract_x
_atom_site_fract_y
_atom_site_fract_z
K1 K 0.000 0.000 0.000
Li1 Li 0.000 0.000 0.500
Np1 Np 0.499 0.499 0.257
I1 I 0.242 0.165 0.285
I2 I 0.246 0.165 0.724
I3 I 0.273 0.646 0.500
I4 I 0.284 0.638 0.999

# 10
# KLi2NpI8, optimized geometry, DFT PBE
# - formation energy from raw total energies (meV per atom) = -907
# - E_tot (eV per cell) = -41.2
# - volume (A^3/atom) = 45.02
data_KLi2NpI8
_chemical_formula_sum 'K1 Li2 Np1 I8'
_cell_length_a 7.205
_cell_length_b 7.525
_cell_length_c 10.121
_cell_angle_alpha 89.44
_cell_angle_beta 89.48
_cell_angle_gamma 79.93
_symmetry_space_group_name_H-M 'P -1'
_symmetry_Int_Tables_number 2
_symmetry_space_group_name_Hall '-P 1'
loop_
_atom_site_label
_atom_site_type_symbol
_atom_site_fract_x
_atom_site_fract_y
_atom_site_fract_z
K1 K 0.000 0.000 0.000
Li1 Li 0.497 0.500 0.164
Np1 Np 0.000 0.000 0.500
I1 I 0.214 0.289 0.499
I2 I 0.254 0.810 0.706
I3 I 0.258 0.814 0.294
I4 I 0.297 0.327 0.000

# 11
# K2LiIO6, optimized geometry, DFT PBE
# - formation energy from raw total energies (meV per atom) = -935
# - E_tot (eV per cell) = -179.0
# - volume (A^3/atom) = 14.25
data_K2LiIO6
_chemical_formula_sum 'K8 Li4 I4 O24'
_cell_length_a 8.292
_cell_length_b 8.292
_cell_length_c 8.292
_cell_angle_alpha 90.00
_cell_angle_beta 90.00
_cell_angle_gamma 90.00
_symmetry_space_group_name_H-M 'F m -3 m'
_symmetry_Int_Tables_number 225
_symmetry_space_group_name_Hall '-F 4 2 3'
loop_
_atom_site_label
_atom_site_type_symbol
_atom_site_fract_x
_atom_site_fract_y
_atom_site_fract_z
K1 K 0.250 0.250 0.250
Li1 Li 0.000 0.000 0.000
I1 I 0.000 0.000 0.500
O1 O 0.000 0.000 0.272

# 12
# KLiIO2, optimized geometry, DFT PBE
# - formation energy from raw total energies (meV per atom) = -204
# - E_tot (eV per cell) = -15.5
# - volume (A^3/atom) = 22.10
# - E above lowest polymorph (eV per atom) = 0.1249
data_KLiIO2
_chemical_formula_sum 'K1 Li1 I1 O2'
_cell_length_a 4.450
_cell_length_b 4.450
_cell_length_c 5.580
_cell_angle_alpha 90.00
_cell_angle_beta 90.00
_cell_angle_gamma 90.00
_symmetry_space_group_name_H-M 'P 4/m m m'
_symmetry_Int_Tables_number 123
_symmetry_space_group_name_Hall '-P 4 2'
loop_
_atom_site_label
_atom_site_type_symbol
_atom_site_fract_x
_atom_site_fract_y
_atom_site_fract_z
K1 K 0.000 0.000 0.000
Li1 Li 0.000 0.000 0.500
I1 I 0.500 0.500 0.000
O1 O 0.000 0.500 0.500

# 13
# K4LiIO6, optimized geometry, DFT PBE
# - formation energy from raw total energies (meV per atom) = -1308
# - E_tot (eV per cell) = -426.4
# - volume (A^3/atom) = 16.33
data_K4LiIO6
_chemical_formula_sum 'K32 Li8 I8 O48'
_cell_length_a 10.137
_cell_length_b 11.466
_cell_length_c 13.488
_cell_angle_alpha 90.00
_cell_angle_beta 90.00
_cell_angle_gamma 90.00
_symmetry_space_group_name_H-M 'P b c a'
_symmetry_Int_Tables_number 61
_symmetry_space_group_name_Hall '-P 2ac 2ab'
loop_
_atom_site_label
_atom_site_type_symbol
_atom_site_fract_x
_atom_site_fract_y
_atom_site_fract_z
K1 K 0.065 0.056 0.109
K2 K 0.116 0.095 0.692
K3 K 0.166 0.522 0.939
K4 K 0.206 0.690 0.309
Li1 Li 0.199 0.248 0.509
I1 I 0.045 0.746 0.601
O1 O 0.030 0.166 0.509
O2 O 0.033 0.150 0.305
O3 O 0.110 0.647 0.704
O4 O 0.113 0.152 0.906
O5 O 0.138 0.649 0.505
O6 O 0.202 0.658 0.104

# 14
# KLiIO2, optimized geometry, DFT PBE
# - formation energy from raw total energies (meV per atom) = 53
# - E_tot (eV per cell) = -14.2
# - volume (A^3/atom) = 33.91
# - E above lowest polymorph (eV per atom) = 0.3823
data_KLiIO2
_chemical_formula_sum 'K1 Li1 I1 O2'
_cell_length_a 4.850
_cell_length_b 4.850
_cell_length_c 7.208
_cell_angle_alpha 90.00
_cell_angle_beta 90.00
_cell_angle_gamma 90.00
_symmetry_space_group_name_H-M 'P 4/m m m'
_symmetry_Int_Tables_number 123
_symmetry_space_group_name_Hall '-P 4 2'
loop_
_atom_site_label
_atom_site_type_symbol
_atom_site_fract_x
_atom_site_fract_y
_atom_site_fract_z
K1 K 0.000 0.000 0.000
Li1 Li 0.500 0.500 0.500
I1 I 0.000 0.000 0.500
O1 O 0.000 0.500 0.000

# 15
# K2Li3IO6, optimized geometry, DFT PBE
# - formation energy from raw total energies (meV per atom) = -1380
# - E_tot (eV per cell) = -111.6
# - volume (A^3/atom) = 14.16
data_K2Li3IO6
_chemical_formula_sum 'K4 Li6 I2 O12'
_cell_length_a 5.951
_cell_length_b 11.893
_cell_length_c 5.229
_cell_angle_alpha 90.00
_cell_angle_beta 113.28
_cell_angle_gamma 90.00
_symmetry_space_group_name_H-M 'C 1 2/m 1'
_symmetry_Int_Tables_number 12
_symmetry_space_group_name_Hall '-C 2y'
loop_
_atom_site_label
_atom_site_type_symbol
_atom_site_fract_x
_atom_site_fract_y
_atom_site_fract_z
K1 K 0.000 0.180 0.000
Li1 Li 0.000 0.000 0.500
Li2 Li 0.000 0.400 0.500
I1 I 0.000 0.500 0.000
O1 O 0.197 0.387 0.256
O2 O 0.206 0.500 0.798

# 16
# K3Li2IO6, optimized geometry, DFT PBE
# - formation energy from raw total energies (meV per atom) = -1289
# - E_tot (eV per cell) = -107.8
# - volume (A^3/atom) = 13.75
data_K3Li2IO6
_chemical_formula_sum 'K6 Li4 I2 O12'
_cell_length_a 5.616
_cell_length_b 9.827
_cell_length_c 6.234
_cell_angle_alpha 90.00
_cell_angle_beta 106.45
_cell_angle_gamma 90.00
_symmetry_space_group_name_H-M 'C 1 2/m 1'
_symmetry_Int_Tables_number 12
_symmetry_space_group_name_Hall '-C 2y'
loop_
_atom_site_label
_atom_site_type_symbol
_atom_site_fract_x
_atom_site_fract_y
_atom_site_fract_z
K1 K 0.000 0.000 0.000
K2 K 0.000 0.318 0.000
Li1 Li 0.000 0.168 0.500
I1 I 0.000 0.500 0.500
O1 O 0.205 0.359 0.675
O2 O 0.217 0.500 0.309